# Fe2AsW PBE-GGA relaxed
data_Fe2AsW
_space_group_name_H-M_alt 'P 1'
_space_group_IT_number 1
_space_group_name_Hall 'P 1'
_cell_length_a 2.744
_cell_length_b 2.744
_cell_length_c 7.952
_cell_angle_alpha 90.00
_cell_angle_beta 90.00
_cell_angle_gamma 107.95
loop_
_atom_site_label
_atom_site_type_symbol
_atom_site_fract_x
_atom_site_fract_y
_atom_site_fract_z
Fe1 Fe 0.000 0.000 0.000
Fe2 Fe 0.500 0.500 0.233
As1 As 0.500 0.500 0.757
W1 W 0.000 0.000 0.486
# ΔE_f   322 meV per atom
# Size of the total moment   4.953 μB/f.u.
# DOS(E_F)   2.57 states/eV per cell